Here is a relaxed PrInCuPt crystal from Alexandria. Energies are from PBE.

Unit cell a=4.9038 b=4.9038 c=4.9038 alpha=60.00 beta=60.00 gamma=60.00
Closest atoms and distances in Å follow each position.
Element x y z (fractional)
1 Pr 0.0000 0.0000 0.0000  4 Cu 3.00, 4 Pt 3.00
2 Cu 0.2500 0.2500 0.2500  4 In 3.00, 4 Pr 3.00
3 Pt 0.7500 0.7500 0.7500  4 Pr 3.00, 4 In 3.00
4 In 0.5000 0.5000 0.5000  4 Cu 3.00, 4 Pt 3.00

DFT total energy	-0.1817	hartree per atom
calculated volume	83.38	Å³ per cell
crystal system	cubic

***

Here is a relaxed ZnW crystal from Alexandria. Energies are from PBE.

Unit cell a=4.3238 b=12.4535 c=3.3282 alpha=90.00 beta=90.00 gamma=90.00
Closest atoms and distances in Å follow each position.
Element x y z (fractional)
1 Zn 0.0000 0.8472 0.5000  2 Zn 2.53, 6 W 2.71-2.74
2 Zn 0.0000 0.1528 0.5000  2 Zn 2.53, 6 W 2.71-2.74
3 Zn 0.5000 0.3472 0.5000  2 Zn 2.53, 6 W 2.71-2.74
4 Zn 0.5000 0.6528 0.5000  2 Zn 2.53, 6 W 2.71-2.74
5 Zn 0.0000 0.0000 0.0000  4 Zn 2.53, 4 W 2.73
6 Zn 0.5000 0.5000 0.0000  4 Zn 2.53, 4 W 2.73
7 W 0.0000 0.3245 0.0000  6 Zn 2.71-2.74, 4 W 2.75-2.85
8 W 0.0000 0.6755 0.0000  6 Zn 2.71-2.74, 4 W 2.75-2.85
9 W 0.5000 0.8245 0.0000  6 Zn 2.71-2.74, 4 W 2.75-2.85
10 W 0.5000 0.1755 0.0000  6 Zn 2.71-2.74, 4 W 2.75-2.85
11 W 0.5000 0.0000 0.5000  8 Zn 2.73-2.88, 4 W 2.75
12 W 0.0000 0.5000 0.5000  8 Zn 2.73-2.88, 4 W 2.75

DFT total energy	-0.2513	hartree per atom
excess energy over the best structure of this formula in the dataset	0.114	eV/atom
calculated volume	179.21	Å³ per cell
crystal system	orthorhombic

***

Here is a relaxed NpCdRh crystal from Alexandria. Energies are from PBE.

Unit cell a=3.2008 b=4.7104 c=10.8984 alpha=68.60 beta=107.01 gamma=132.79
Closest atoms and distances in Å follow each position.
Element x y z (fractional)
1 Cd 0.5333 0.6862 0.0969  4 Rh 2.89-2.96, 6 Cd 3.04-3.20
2 Cd 0.4667 0.3138 0.9031  4 Rh 2.89-2.96, 6 Cd 3.04-3.20
3 Np 0.5656 0.3885 0.4265  2 Np 2.46, 2 Rh 2.69
4 Np 0.4344 0.6115 0.5735  2 Np 2.46, 2 Rh 2.69
5 Rh 0.4002 0.9184 0.7321  2 Np 2.69, 4 Cd 2.89-2.96
6 Rh 0.5998 0.0816 0.2679  2 Np 2.69, 4 Cd 2.89-2.96

DFT total energy	-0.2682	hartree per atom
excess energy over the best structure of this formula in the dataset	0.000	eV/atom
calculated volume	112.03	Å³ per cell
crystal system	triclinic